Entry from the Alexandria database: crystalline Li4Mn3Cr3Sn2O16 at its relaxed geometry (PBE+U).

## Properties
The value obtained for the total magnetic moment is 19.0 μB/f.u. Its total energy is -6.81 eV per atom. As for the symmetry: Cm.

```
Li4Mn3Cr3Sn2O16
1.0
-5.900 -0.732 -0.065
-2.269 -5.467 0.563
-0.329 1.029 9.666
Li Mn Cr Sn O
4 3 3 2 16
Direct
0.672 0.672 0.899 Li
0.999 0.999 0.993 Li
0.994 0.994 0.494 Li
0.336 0.336 0.395 Li
0.831 0.831 0.215 Mn
0.660 0.171 0.715 Mn
0.171 0.660 0.715 Mn
0.831 0.338 0.214 Cr
0.338 0.831 0.214 Cr
0.168 0.168 0.714 Cr
0.663 0.663 0.490 Sn
0.333 0.333 0.993 Sn
0.838 0.315 0.600 O
0.517 0.517 0.338 O
0.673 0.673 0.110 O
0.995 0.995 0.308 O
0.994 0.994 0.807 O
0.315 0.838 0.600 O
0.967 0.523 0.334 O
0.523 0.967 0.334 O
0.159 0.159 0.096 O
0.834 0.834 0.601 O
0.485 0.037 0.835 O
0.037 0.485 0.835 O
0.338 0.338 0.611 O
0.681 0.154 0.101 O
0.487 0.487 0.844 O
0.154 0.681 0.101 O
```